1.
Density functional theory data (GGA-PBE) for a geometry-optimized HoGaF structure.

Unit cell a=3.616 b=3.616 c=8.465 alpha=102.33 beta=102.33 gamma=90.00
Fractional coordinates of all 6 atoms:
1 Ho 0.100 0.100 0.200
2 Ho 0.900 0.900 0.800
3 F 0.000 0.500 0.000
4 F 0.500 0.000 0.000
5 Ga 0.715 0.715 0.430
6 Ga 0.285 0.285 0.570

Output
**Polymorph energy (0 for the lowest one)**: 0.000 eV per atom
**Space group**: No. 139
**Energy relative to the elements, uncorrected**: -1.88 eV/atom
**Calculated total energy**: -5.043 eV/atom

2.
Density functional theory data (GGA-PBE) for a geometry-optimized Ho2GaF structure.

Unit cell a=3.670 b=3.670 c=7.381 alpha=75.61 beta=75.61 gamma=60.00
Fractional coordinates of all 4 atoms:
1 Ho 0.738 0.738 0.787
2 Ho 0.262 0.262 0.213
3 Ga 0.500 0.500 0.500
4 F 0.000 0.000 0.000

Output
**Space group**: No. 166
**Energy relative to the elements, uncorrected**: -1.35 eV/atom
**Calculated total energy**: -4.863 eV/atom

3.
Density functional theory data (GGA-PBE) for a geometry-optimized HoGa2F6 structure.

Unit cell a=3.909 b=5.585 c=6.839 alpha=101.54 beta=90.00 gamma=110.48
Fractional coordinates of all 9 atoms:
1 Ho 0.000 0.000 0.500
2 Ga 0.745 0.490 0.862
3 Ga 0.255 0.510 0.138
4 F 0.898 0.797 0.753
5 F 0.791 0.582 0.328
6 F 0.209 0.418 0.672
7 F 0.563 0.125 0.676
8 F 0.437 0.875 0.324
9 F 0.102 0.203 0.247

Output
**Space group**: No. 12
**Energy relative to the elements, uncorrected**: -2.88 eV/atom
**Calculated total energy**: -5.308 eV/atom

4.
Density functional theory data (GGA-PBE) for a geometry-optimized GaIF2 structure.

Unit cell a=6.258 b=6.258 c=6.269 alpha=60.06 beta=60.06 gamma=90.00
Fractional coordinates of all 8 atoms:
1 I 0.000 0.000 0.000
2 I 0.750 0.250 0.500
3 Ga 0.500 0.500 0.000
4 Ga 0.250 0.750 0.500
5 F 0.375 0.125 0.250
6 F 0.375 0.625 0.250
7 F 0.375 0.625 0.750
8 F 0.875 0.625 0.750

Output
**Polymorph energy (0 for the lowest one)**: 0.000 eV per atom
**Space group**: No. 141
**Energy relative to the elements, uncorrected**: -1.41 eV/atom
**Calculated total energy**: -3.489 eV/atom

5.
Density functional theory data (GGA-PBE) for a geometry-optimized GaI3F structure.

Unit cell a=5.581 b=5.581 c=5.581 alpha=90.00 beta=90.00 gamma=90.00
Fractional coordinates of all 5 atoms:
1 I 0.000 0.500 0.000
2 I 0.000 0.000 0.500
3 I 0.500 0.000 0.000
4 Ga 0.000 0.000 0.000
5 F 0.500 0.500 0.500

Output
**Space group**: No. 221
**Energy relative to the elements, uncorrected**: -0.05 eV/atom
**Calculated total energy**: -1.956 eV/atom

6.
Density functional theory data (GGA-PBE) for a geometry-optimized GaIF2 structure.

Unit cell a=10.103 b=10.103 c=10.103 alpha=18.62 beta=18.62 gamma=18.62
Fractional coordinates of all 4 atoms:
1 I 0.500 0.500 0.500
2 Ga 0.000 0.000 0.000
3 F 0.940 0.940 0.940
4 F 0.060 0.060 0.060

Output
**Polymorph energy (0 for the lowest one)**: 0.382 eV per atom
**Space group**: No. 166
**Energy relative to the elements, uncorrected**: -1.03 eV/atom
**Calculated total energy**: -3.107 eV/atom

7.
Density functional theory data (GGA-PBE) for a geometry-optimized GaIF structure.

Unit cell a=5.369 b=3.891 c=3.891 alpha=120.00 beta=90.00 gamma=90.00
Fractional coordinates of all 3 atoms:
1 I 0.724 0.667 0.333
2 Ga 0.070 0.000 0.000
3 F 0.205 0.333 0.667

Output
**Polymorph energy (0 for the lowest one)**: 0.455 eV per atom
**Space group**: No. 156
**Energy relative to the elements, uncorrected**: -0.90 eV/atom
**Calculated total energy**: -3.053 eV/atom

8.
Density functional theory data (GGA-PBE) for a geometry-optimized GaIF structure.

Unit cell a=4.721 b=4.905 c=10.929 alpha=116.78 beta=74.48 gamma=121.04
Fractional coordinates of all 6 atoms:
1 Ga 0.320 0.469 0.927
2 Ga 0.680 0.531 0.073
3 I 0.332 0.326 0.676
4 I 0.668 0.674 0.324
5 F 0.152 0.815 0.022
6 F 0.848 0.185 0.978

Output
**Polymorph energy (0 for the lowest one)**: 0.000 eV per atom
**Space group**: No. 2
**Energy relative to the elements, uncorrected**: -1.36 eV/atom
**Calculated total energy**: -3.507 eV/atom

9.
Density functional theory data (GGA-PBE) for a geometry-optimized GaIF2 structure.

Unit cell a=4.607 b=4.607 c=4.607 alpha=60.00 beta=60.00 gamma=60.00
Fractional coordinates of all 4 atoms:
1 I 0.500 0.500 0.500
2 Ga 0.000 0.000 0.000
3 F 0.250 0.250 0.250
4 F 0.750 0.750 0.750

Output
**Polymorph energy (0 for the lowest one)**: 0.775 eV per atom
**Space group**: No. 225
**Energy relative to the elements, uncorrected**: -0.63 eV/atom
**Calculated total energy**: -2.715 eV/atom

10.
Density functional theory data (GGA-PBE) for a geometry-optimized GaI2F structure.

Unit cell a=5.090 b=5.090 c=5.090 alpha=60.00 beta=60.00 gamma=60.00
Fractional coordinates of all 4 atoms:
1 I 0.250 0.250 0.250
2 I 0.750 0.750 0.750
3 Ga 0.500 0.500 0.500
4 F 0.000 0.000 0.000

Output
**Polymorph energy (0 for the lowest one)**: 0.316 eV per atom
**Space group**: No. 225
**Energy relative to the elements, uncorrected**: -0.22 eV/atom
**Calculated total energy**: -2.219 eV/atom

11.
Density functional theory data (GGA-PBE) for a geometry-optimized GaI2F structure.

Unit cell a=7.217 b=7.217 c=6.651 alpha=57.14 beta=57.14 gamma=90.00
Fractional coordinates of all 8 atoms:
1 I 0.648 0.125 0.250
2 I 0.102 0.625 0.250
3 I 0.375 0.352 0.750
4 I 0.875 0.898 0.750
5 Ga 0.000 0.000 0.000
6 Ga 0.750 0.250 0.500
7 F 0.500 0.500 0.000
8 F 0.250 0.750 0.500

Output
**Polymorph energy (0 for the lowest one)**: 0.000 eV per atom
**Space group**: No. 122
**Energy relative to the elements, uncorrected**: -0.54 eV/atom
**Calculated total energy**: -2.535 eV/atom

Number 1: N(E_F) 2.73 states/eV per cell, total moment 0.0 Bohr magnetons per cell. Number 2: N(E_F) 1.46 states/eV per cell, total moment 0.0 Bohr magnetons per cell. Number 3: N(E_F) 2.09 states/eV per cell, total moment 0.0 Bohr magnetons per cell. Number 4: N(E_F) 13.62 states/eV per cell, total moment 0.7 Bohr magnetons per cell. Number 5: N(E_F) 9.57 states/eV per cell, total moment 0.8 Bohr magnetons per cell. Number 6: N(E_F) 1.94 states/eV per cell, total moment 0.0 Bohr magnetons per cell. Number 7: N(E_F) 3.12 states/eV per cell, total moment 0.0 Bohr magnetons per cell. Number 8: N(E_F) 0.00 states/eV per cell, total moment 0.0 Bohr magnetons per cell. Number 9: N(E_F) 3.02 states/eV per cell, total moment 0.0 Bohr magnetons per cell. Number 10: N(E_F) 4.60 states/eV per cell, total moment 0.0 Bohr magnetons per cell. Number 11: N(E_F) 0.00 states/eV per cell, total moment 0.0 Bohr magnetons per cell.